Entry 1:
The following is a PBE-GGA calculation of a relaxed structure of CsAsI3, from Alexandria.

The density is 4.0 g/cm3. The value obtained for the total moment is 0.00 μB/cell. The density of states at the Fermi level is 0.003 states/eV per atom. The value obtained for the energy relative to the elements, uncorrected is -0.551 eV per atom.

The space group is C2/c (No. 15) and the conventional cell measures 14.594, 15.423 and 8.708 Å, with angles of 90.00, 97.64 and 90.00 degrees. The inequivalent atoms are Cs at (0.166, 0.092, 0.039), As at (0.000, 0.279, 0.750), As at (0.000, 0.438, 0.250), I at (0.095, 0.144, 0.595), I at (0.107, 0.410, 0.631) and I at (0.122, 0.325, 0.156).

***

Entry 2:
The following is a PBE-GGA calculation of a relaxed structure of CsAsI3, from Alexandria.

The density is 3.7 g/cm3. The value obtained for the total moment is 0.00 μB/cell. The density of states at the Fermi level is 0.000 states/eV per atom. The value obtained for the energy relative to the elements, uncorrected is -0.540 eV per atom.

The space group is C2/c (No. 15) and the conventional cell measures 14.637, 14.215 and 10.619 Å, with angles of 90.00, 108.77 and 90.00 degrees. The inequivalent atoms are Cs at (0.000, 0.117, 0.250), Cs at (0.000, 0.228, 0.750), As at (0.083, 0.404, 0.274), I at (0.119, 0.399, 0.530), I at (0.149, 0.048, 0.617) and I at (0.223, 0.160, 0.045).

***

Entry 3:
The following is a PBE-GGA calculation of a relaxed structure of CsAsI3, from Alexandria.

The density is 3.4 g/cm3. The value obtained for the total moment is 0.00 μB/cell. The density of states at the Fermi level is 0.000 states/eV per atom. The value obtained for the energy relative to the elements, uncorrected is -0.650 eV per atom.

The space group is P1 (No. 1) and the conventional cell measures 7.328, 9.180 and 9.376 Å, with angles of 109.50, 92.86 and 103.01 degrees. The inequivalent atoms are Cs at (0.000, 0.000, 0.000), Cs at (0.476, 0.014, 0.497), As at (0.468, 0.494, 0.106), As at (0.758, 0.590, 0.335), I at (0.175, 0.507, 0.256), I at (0.229, 0.257, 0.789), I at (0.474, 0.764, 0.034), I at (0.580, 0.233, 0.194), I at (0.621, 0.646, 0.597) and I at (0.933, 0.906, 0.377).

***

Entry 4:
The following is a PBE-GGA calculation of a relaxed structure of Cs2AsI, from Alexandria.

The density is 2.5 g/cm3. The value obtained for the total moment is 8.00 μB/cell. The density of states at the Fermi level is 0.121 states/eV per atom. The value obtained for the energy relative to the elements, uncorrected is -0.464 eV per atom.

The space group is I-42d (No. 122) and the conventional cell measures 7.862, 7.862 and 20.074 Å, with angles of 90.00, 90.00 and 90.00 degrees. The inequivalent atoms are Cs at (0.237, 0.250, 0.125), As at (0.000, 0.000, 0.000) and I at (0.000, 0.000, 0.500).

***

Entry 5:
The following is a PBE-GGA calculation of a relaxed structure of CsAsI3, from Alexandria.

The density is 4.7 g/cm3. The value obtained for the total moment is 0.00 μB/cell. The density of states at the Fermi level is 0.189 states/eV per atom. The value obtained for the energy relative to the elements, uncorrected is -0.674 eV per atom.

The space group is Pm-3m (No. 221) and the conventional cell measures 5.909, 5.909 and 5.909 Å, with angles of 90.00, 90.00 and 90.00 degrees. The inequivalent atoms are Cs at (0.000, 0.000, 0.000), As at (0.500, 0.500, 0.500) and I at (0.000, 0.500, 0.500).

***

Entry 6:
The following is a PBE-GGA calculation of a relaxed structure of CsAsI3, from Alexandria.

The density is 3.9 g/cm3. The value obtained for the total moment is 0.00 μB/cell. The density of states at the Fermi level is 0.028 states/eV per atom. The value obtained for the energy relative to the elements, uncorrected is -0.559 eV per atom.

The space group is P2_1/m (No. 11) and the conventional cell measures 6.816, 9.396 and 8.377 Å, with angles of 90.00, 111.41 and 90.00 degrees. The inequivalent atoms are Cs at (0.176, 0.250, 0.331), As at (0.497, 0.750, 0.151), I at (0.123, 0.750, 0.175) and I at (0.362, 0.527, 0.744).

***

Entry 7:
The following is a PBE-GGA calculation of a relaxed structure of CsAsI3, from Alexandria.

The density is 3.8 g/cm3. The value obtained for the total moment is 2.00 μB/cell. The density of states at the Fermi level is 0.172 states/eV per atom. The value obtained for the energy relative to the elements, uncorrected is -0.479 eV per atom.

The space group is P6_3/mmc (No. 194) and the conventional cell measures 5.4164, 5.4164 and 20.1254 Å, with angles of 90.00, 90.00 and 120.00 degrees. The inequivalent atoms are Cs at (0.0000, 0.0000, 0.0000), As at (0.3333, 0.6667, 0.2500), I at (0.0000, 0.0000, 0.2500) and I at (0.3333, 0.6667, 0.1086).

***

Entry 8:
The following is a PBE-GGA calculation of a relaxed structure of CsAsI3, from Alexandria.

The density is 3.4 g/cm3. The value obtained for the total moment is 0.00 μB/cell. The density of states at the Fermi level is 0.000 states/eV per atom. The value obtained for the energy relative to the elements, uncorrected is -0.712 eV per atom.

The space group is P1 (No. 1) and the conventional cell measures 7.769, 9.330 and 9.791 Å, with angles of 61.57, 71.15 and 67.30 degrees. The inequivalent atoms are Cs at (0.000, 0.000, 0.000), Cs at (0.473, 0.536, 0.475), As at (0.210, 0.219, 0.384), As at (0.520, 0.024, 0.490), I at (0.006, 0.386, 0.585), I at (0.191, 0.871, 0.649), I at (0.294, 0.507, 0.145), I at (0.456, 0.011, 0.194), I at (0.509, 0.060, 0.753) and I at (0.785, 0.201, 0.305).